# 1
A plane-wave DFT calculation with PBE was carried out for a geometry-optimized Rb4LiCd3F12 structure.

raw total energy = -3.96 eV per atom
formation energy without anion corrections = -2408 meV per atom

a b c (Å): 7.653 7.653 7.653
angles (deg): 109.47 109.47 109.47
Positions (direct):
Rb 0.000 0.000 0.500
Rb 0.000 0.500 0.000
Rb 0.500 0.000 0.000
Rb 0.500 0.500 0.500
Li 0.000 0.000 0.000
Cd 0.000 0.500 0.500
Cd 0.500 0.000 0.500
Cd 0.500 0.500 0.000
F 0.000 0.250 0.250
F 0.000 0.750 0.750
F 0.250 0.000 0.250
F 0.250 0.250 0.000
F 0.250 0.500 0.750
F 0.250 0.750 0.500
F 0.500 0.250 0.750
F 0.500 0.750 0.250
F 0.750 0.000 0.750
F 0.750 0.250 0.500
F 0.750 0.500 0.250
F 0.750 0.750 0.000

=====

# 2
A plane-wave DFT calculation with PBE was carried out for a geometry-optimized Rb3LiCd2F9 structure.

raw total energy = -3.96 eV per atom
formation energy without anion corrections = -2399 meV per atom

a b c (Å): 6.147 6.147 7.586
angles (deg): 90.00 90.00 120.00
Positions (direct):
Rb 0.000 0.000 0.000
Rb 0.333 0.667 0.653
Rb 0.667 0.333 0.347
Li 0.000 0.000 0.500
Cd 0.333 0.667 0.178
Cd 0.667 0.333 0.822
F 0.000 0.500 0.000
F 0.162 0.324 0.335
F 0.162 0.838 0.335
F 0.324 0.162 0.665
F 0.500 0.000 0.000
F 0.500 0.500 0.000
F 0.676 0.838 0.335
F 0.838 0.162 0.665
F 0.838 0.676 0.665

=====

# 3
A plane-wave DFT calculation with PBE was carried out for a geometry-optimized Rb2Li2CdF6 structure.

raw total energy = -4.26 eV per atom
formation energy without anion corrections = -2631 meV per atom

a b c (Å): 6.094 6.094 6.570
angles (deg): 113.26 113.26 59.98
Positions (direct):
Rb 0.211 0.211 0.170
Rb 0.789 0.789 0.830
Li 0.428 0.428 0.740
Li 0.572 0.572 0.260
Cd 0.000 0.000 0.500
F 0.222 0.717 0.227
F 0.240 0.240 0.640
F 0.283 0.778 0.773
F 0.717 0.222 0.227
F 0.760 0.760 0.360
F 0.778 0.283 0.773